A plane-wave DFT calculation with PBE was carried out for a relaxed TiAu3N crystal.

Properties
The raw formation energy comes out at 755 meV/atom. As for the distance to the lowest polymorph of the same formula: 0 meV/atom.

Unit cell a=4.4154 b=4.4154 c=4.4154 alpha=90.00 beta=90.00 gamma=90.00
Closest atoms and distances in Å follow each position.
Positions (direct):
1 N 0.0000 0.0000 0.0000  6 Au 2.21
2 Au 0.0000 0.5000 0.0000  2 N 2.21
3 Au 0.0000 0.0000 0.5000  2 N 2.21
4 Au 0.5000 0.0000 0.0000  2 N 2.21
5 Ti 0.5000 0.5000 0.5000  12 Au 3.12